DFT (PBE-GGA) results for crystalline TlCd2Fe at its relaxed geometry.

```
4
Lattice="5.089 0.000 0.000 0.000 3.116 0.000 -1.899 0.000 5.189" Properties=species:S:1:pos:R:3 pbc="T T T"
Tl 0.000 0.000 0.000
Cd -0.949 1.558 2.595
Cd 1.595 0.000 2.595
Fe 2.545 1.558 0.000
```

Output
Energy of formation: 0.389 eV/atom
E_tot: -2.776 eV/atom
Symmetry: P2/m
Crystal system: monoclinic
Total magnetization: 2.88 μB/f.u.